## ScTlAg2 (GGA-PBEsol)

Data for ScTlAg2 after structural relaxation.

Calculated values
* final energy: -0.306 Ry per atom
* energy of formation: -0.1998 eV/atom
* magnetic moment: 0.000 μB per cell

Cell: 4.7390 4.7628 4.7390 Å, 60.16 90.00 119.84°
Closest atoms and distances in Å follow each position.
Positions (direct):
Ag (0.7500, 0.5000, 0.7500)  4 Ag 2.91, 4 Sc 2.91
Ag (0.0000, 0.0000, 0.0000)  4 Tl 2.91, 4 Ag 2.91
Sc (0.5000, 0.0000, 0.5000)  4 Ag 2.91, 4 Tl 2.91
Tl (0.2500, 0.5000, 0.2500)  4 Sc 2.91, 4 Ag 2.91